First-principles (GGA-PBE) data for a relaxed Ac4PdPtI2 crystal, as listed in the Alexandria database.

Cell: 7.7526 4.5002 9.0246 Å, 90.00 106.72 90.00°
With the nearest neighbours (Å) after each atom.
Space group P2/m (No. 10)
Unique sites:
Ac 0.2273 0.0000 0.1862 x2  2 Pt 3.05, 1 Pd 3.06
Ac 0.2668 0.5000 0.8141 x2  1 Pt 3.02, 2 Pd 3.07
Pd 0.5000 0.0000 0.0000 x1  6 Ac 3.06-3.07
Pt 0.0000 0.5000 0.0000 x1  6 Ac 3.02-3.05
I 0.0000 0.0000 0.5000 x1  6 Ac 3.74
I 0.5000 0.5000 0.5000 x1  6 Ac 3.76-3.78

Summary:
Magnetization in Bohr magnetons per cell: 0.00
Formation energy without anion corrections in kJ/mol of formula units: -848.2

First-principles (GGA-PBE) data for a relaxed NpP2OsRh crystal, as listed in the Alexandria database.

Cell: 3.9708 3.9708 9.9982 Å, 90.00 90.00 90.00°
With the nearest neighbours (Å) after each atom.
Space group I-4m2 (No. 119)
Unique sites:
Np 0.0000 0.0000 0.0000 x2  8 P 3.04, 4 Os 3.19, 4 Rh 3.19
P 0.0000 0.0000 0.3832 x4  1 P 2.34, 2 Os 2.39, 2 Rh 2.39
Os 0.0000 0.5000 0.2500 x2  4 P 2.39
Rh 0.0000 0.5000 0.7500 x2  4 P 2.39

Summary:
Magnetization in Bohr magnetons per cell: 7.67
Formation enthalpy at 0 K in eV per atom: -0.61